Entry from Alexandria via LeMat-Bulk: a relaxed HgPb2S2I2 crystal (PBE).

a = 7.472 Å, b = 7.472 Å, c = 9.506 Å
α = 125.27°, β = 125.27°, γ = 34.66°
Fractional positions:
1 Hg 0.000 0.000 0.000
2 Pb 0.147 0.147 0.742
3 Pb 0.853 0.853 0.258
4 S 0.191 0.191 0.072
5 S 0.809 0.809 0.928
6 I 0.436 0.436 0.646
7 I 0.564 0.564 0.354

**E**: -3.18 eV/atom
**Space-group type**: C2/m
**Uncorrected formation energy**: -0.4602 eV/atom